No. 1
Crystalline CdSeN2F at its relaxed geometry. Source: the Alexandria database, functional PBE.

Raw formation energy ... 1.446 eV/atom
Distance to the lowest polymorph of the same formula ... 0.657 eV/atom
Symmetry ... P4/mmm

Cell and atoms, written as POSCAR:
```
CdSeN2F
1.0
4.277 0.000 0.000
0.000 4.277 0.000
0.000 0.000 4.117
Se N Cd F
1 2 1 1
Direct
0.500 0.500 0.500
0.500 0.000 0.000
0.000 0.500 0.000
0.000 0.000 0.000
0.000 0.000 0.500
```

No. 2
Crystalline RbTl6Cd4 at its relaxed geometry. Source: the Alexandria database, functional PBE.

Energy of formation from the pure elements ... -0.0254 eV/atom
Symmetry ... P-6m2

Cell and atoms, written as POSCAR:
```
RbTl6Cd4
1.0
-5.011 0.068 -0.608
0.801 -5.139 -7.179
-1.021 -3.686 7.997
Tl Cd Rb
6 4 1
Direct
0.500 0.199 0.398
0.000 0.934 0.467
0.500 0.199 0.801
0.000 0.533 0.467
0.500 0.602 0.801
0.000 0.533 0.066
0.000 0.333 0.667
0.500 0.788 0.212
0.500 0.788 0.576
0.500 0.424 0.212
0.000 0.000 0.000
```

No. 3
Crystalline Ca2TlGa at its relaxed geometry. Source: the Alexandria database, functional PBE.

Energy of formation from the pure elements ... -0.4213 eV/atom
Distance to the lowest polymorph of the same formula ... 0.012 eV/atom
Symmetry ... Fm-3m

Cell and atoms, written as POSCAR:
```
Ca2TlGa
1.0
4.596 -0.401 -2.725
3.149 -4.283 0.673
0.480 -3.616 -3.925
Tl Ca Ga
1 2 1
Direct
0.500 0.500 0.500
0.250 0.250 0.250
0.750 0.750 0.750
0.000 0.000 0.000
```

No. 4
Crystalline Pm8SnAu2 at its relaxed geometry. Source: the Alexandria database, functional PBE.

Energy of formation from the pure elements ... -0.4110 eV/atom
Symmetry ... C2/m

Cell and atoms, written as POSCAR:
```
Pm8SnAu2
1.0
-3.977 -3.137 -1.353
4.587 -4.299 -3.517
1.191 -1.297 9.662
Pm Au Sn
8 2 1
Direct
0.024 0.769 0.049
0.976 0.231 0.951
0.803 0.661 0.606
0.674 0.991 0.347
0.326 0.009 0.653
0.197 0.339 0.394
0.594 0.474 0.188
0.406 0.526 0.812
0.174 0.728 0.349
0.826 0.272 0.651
0.500 0.000 0.000
```

Computed D(E_F), in the same sequence as the records: 3.522, 4.666, 0.932, 11.187 states/eV per cell.
Computed calculated density, in the same sequence as the records: 5.3, 8.5, 5.4, 8.3 Mg/m³.
Computed energy, in the same sequence as the records: -3.14, -1.74, -2.77, -4.83 eV/atom.